Entry 1:
Pr2DyTl: relaxed, PBE-GGA.

The structure belongs to space group R3m (No. 160, hexagonal axes); the cell edges are 3.7220, 3.7220 and 33.3819 Å and the angles 90.00°, 90.00° and 120.00°. The distinct sites, in fractional coordinates, are Pr at (0.0000, 0.0000, 0.0000), Pr at (0.0000, 0.0000, 0.1739), Dy at (0.0000, 0.0000, 0.7535) and Tl at (0.0000, 0.0000, 0.5872).

The calculation puts the formation energy at -0.09 eV/atom. Its total magnetization is 0.139 μB/f.u. Its total energy is -4.222 eV per atom.


Entry 2:
Pr3DyTl4: relaxed, PBE-GGA.

The structure belongs to space group P4/mmm (No. 123); the cell edges are 3.8713, 3.8713 and 15.8056 Å and the angles 90.00°, 90.00° and 90.00°. The distinct sites, in fractional coordinates, are Pr at (0.0000, 0.0000, 0.0000), Pr at (0.0000, 0.0000, 0.2564), Dy at (0.0000, 0.0000, 0.5000), Tl at (0.5000, 0.5000, 0.1285) and Tl at (0.5000, 0.5000, 0.3856).

The calculation puts the formation energy at -0.39 eV/atom. Its total magnetization is 0.000 μB/f.u. Its total energy is -3.937 eV per atom.


Entry 3:
Pr2Dy7Tl2: relaxed, PBE-GGA.

The structure belongs to space group Cmmm (No. 65); the cell edges are 6.7941, 11.8010 and 9.0953 Å and the angles 90.00°, 90.00° and 90.00°. The distinct sites, in fractional coordinates, are Pr at (0.2366, 0.0000, 0.0000), Dy at (0.0000, 0.0000, 0.5000), Dy at (0.0000, 0.5000, 0.3163), Dy at (0.2500, 0.2500, 0.2032) and Tl at (0.0000, 0.2703, 0.5000).

The calculation puts the formation energy at 0.17 eV/atom. Its total magnetization is 0.000 μB/f.u. Its total energy is -4.061 eV per atom.


Entry 4:
Pr6Dy8Tl: relaxed, PBE-GGA.

The structure belongs to space group P-3 (No. 147); the cell edges are 9.5259, 9.5259 and 6.4372 Å and the angles 90.00°, 90.00° and 120.00°. The distinct sites, in fractional coordinates, are Pr at (0.0903, 0.6394, 0.1846), Dy at (0.0401, 0.7782, 0.6876), Dy at (0.3333, 0.6667, 0.6691) and Tl at (0.0000, 0.0000, 0.0000).

The calculation puts the formation energy at 0.07 eV/atom. Its total magnetization is 0.000 μB/f.u. Its total energy is -4.451 eV per atom.